[1]
This record from the Alexandria database describes a relaxed structure of SmDy2Y4. The functional is PBE-GGA.

Output
**Energy relative to the lowest polymorph listed for this composition**: 0.0000 eV per atom
**Density of states at the Fermi level**: 13.33 states/eV/f.u.
**Total magnetic moment**: 0.00 μB/cell
**Crystal system**: triclinic

Cell lengths 6.3150, 8.4964, 9.2406 Å; angles 95.60, 90.04, 111.75 degrees
Closest atoms and distances in Å follow each position.
Space group P1 (No. 1)
Asymmetric unit:
Sm: 0.0000 0.0000 0.0000 (multiplicity 1)  3 Dy 3.53-3.64, 7 Y 3.53-3.68, 2 Sm 3.64-3.66
Sm: 0.4267 0.8573 0.1434 (multiplicity 1)  9 Y 3.54-3.67, 1 Dy 3.54, 2 Sm 3.64-3.66
Dy: 0.1397 0.2840 0.7136 (multiplicity 1)  8 Y 3.50-3.65, 3 Dy 3.53-3.65, 1 Sm 3.64
Dy: 0.4753 0.2862 0.2167 (multiplicity 1)  1 Dy 3.51, 9 Y 3.52-3.66, 2 Sm 3.54
Dy: 0.7126 0.4285 0.5716 (multiplicity 1)  4 Dy 3.51-3.65, 8 Y 3.52-3.65
Dy: 0.7621 0.8558 0.6436 (multiplicity 1)  9 Y 3.52-3.67, 2 Dy 3.52-3.53, 1 Sm 3.53
Y: 0.0469 0.4277 0.0722 (multiplicity 1)  2 Sm 3.53-3.54, 7 Y 3.54-3.66, 3 Dy 3.54-3.66
Y: 0.1867 0.7113 0.7853 (multiplicity 1)  6 Y 3.51-3.66, 4 Dy 3.52-3.67, 2 Sm 3.54-3.55
Y: 0.2861 0.5704 0.4308 (multiplicity 1)  6 Y 3.51-3.65, 5 Dy 3.52-3.65, 1 Sm 3.67
Y: 0.3335 0.0008 0.5013 (multiplicity 1)  6 Y 3.52-3.66, 5 Dy 3.52-3.65, 1 Sm 3.54
Y: 0.5710 0.1432 0.8566 (multiplicity 1)  4 Y 3.52-3.57, 5 Dy 3.54-3.65, 3 Sm 3.65-3.66
Y: 0.6151 0.5695 0.9275 (multiplicity 1)  4 Dy 3.52-3.66, 6 Y 3.52-3.66, 2 Sm 3.55-3.56
Y: 0.8545 0.7118 0.2879 (multiplicity 1)  3 Dy 3.52-3.62, 6 Y 3.54-3.65, 3 Sm 3.66-3.68
Y: 0.9030 0.1433 0.3594 (multiplicity 1)  5 Dy 3.50-3.65, 5 Y 3.53-3.65, 2 Sm 3.54-3.56

---

[2]
This record from the Alexandria database describes a relaxed structure of CuTcI2N. The functional is PBE-GGA.

Output
**Energy relative to the lowest polymorph listed for this composition**: 0.0000 eV per atom
**Density of states at the Fermi level**: 3.47 states/eV/f.u.
**Total magnetic moment**: 0.00 μB/cell
**Crystal system**: tetragonal
**Formation energy from raw total energies**: 560 meV per atom

Cell lengths 5.5409, 5.5409, 3.7406 Å; angles 90.00, 90.00, 90.00 degrees
Closest atoms and distances in Å follow each position.
Space group P4/mmm (No. 123)
Asymmetric unit:
Cu: 0.0000 0.0000 0.0000 (multiplicity 1)  8 I 3.34, 2 Cu 3.74
Tc: 0.5000 0.5000 0.5000 (multiplicity 1)  2 N 1.87
I: 0.0000 0.5000 0.5000 (multiplicity 2)  2 Tc 2.77
N: 0.5000 0.5000 0.0000 (multiplicity 1)  2 Tc 1.87

---

[3]
This record from the Alexandria database describes a relaxed structure of TlGe2Sb2. The functional is PBE-GGA.

Output
**Energy relative to the lowest polymorph listed for this composition**: 0.0498 eV per atom
**Density of states at the Fermi level**: 2.54 states/eV/f.u.
**Total magnetic moment**: 0.00 μB/cell
**Crystal system**: tetragonal
**Formation energy from raw total energies**: 188 meV per atom

Cell lengths 8.3229, 8.3229, 3.7628 Å; angles 90.00, 90.00, 90.00 degrees
Closest atoms and distances in Å follow each position.
Space group P4/mbm (No. 127)
Asymmetric unit:
Tl: 0.0000 0.0000 0.0000 (multiplicity 2)  4 Ge 3.26
Ge: 0.1303 0.3697 0.0000 (multiplicity 4)  6 Sb 2.99-3.21, 1 Ge 3.07, 2 Tl 3.26
Sb: 0.1483 0.6483 0.5000 (multiplicity 4)  6 Ge 2.99-3.21

---

[4]
This record from the Alexandria database describes a relaxed structure of SiOsPt2. The functional is PBE-GGA.

Output
**Density of states at the Fermi level**: 3.89 states/eV/f.u.
**Total magnetic moment**: 0.00 μB/cell
**Crystal system**: orthorhombic
**Formation energy from raw total energies**: -69 meV per atom

Cell lengths 3.0159, 4.2684, 9.1046 Å; angles 90.00, 90.00, 90.00 degrees
Closest atoms and distances in Å follow each position.
Space group Immm (No. 71)
Asymmetric unit:
Si: 0.0000 0.0000 0.0000 (multiplicity 2)  4 Pt 2.43, 4 Os 2.61
Os: 0.0000 0.0000 0.5000 (multiplicity 2)  4 Si 2.61, 4 Pt 2.86
Pt: 0.0000 0.5000 0.2906 (multiplicity 4)  2 Si 2.43, 4 Pt 2.72

---

[5]
This record from the Alexandria database describes a relaxed structure of CuRh5. The functional is PBE-GGA.

Output
**Energy relative to the lowest polymorph listed for this composition**: 0.0000 eV per atom
**Density of states at the Fermi level**: 8.94 states/eV/f.u.
**Total magnetic moment**: 0.00 μB/cell
**Crystal system**: tetragonal

Cell lengths 2.7256, 2.7256, 11.2552 Å; angles 90.00, 90.00, 90.00 degrees
Closest atoms and distances in Å follow each position.
Space group P4/mmm (No. 123)
Asymmetric unit:
Cu: 0.0000 0.0000 0.0000 (multiplicity 1)  8 Rh 2.65, 4 Cu 2.73
Rh: 0.0000 0.0000 0.3288 (multiplicity 2)  12 Rh 2.69-2.73
Rh: 0.5000 0.5000 0.1618 (multiplicity 2)  4 Cu 2.65, 8 Rh 2.69-2.73
Rh: 0.5000 0.5000 0.5000 (multiplicity 1)  12 Rh 2.73

---

[6]
This record from the Alexandria database describes a relaxed structure of Ce6Bi5Sb. The functional is PBE-GGA.

Output
**Density of states at the Fermi level**: 38.19 states/eV/f.u.
**Total magnetic moment**: 10.71 μB/cell
**Crystal system**: monoclinic
**Formation energy from raw total energies**: -831 meV per atom

Cell lengths 7.9417, 13.7564, 7.9448 Å; angles 90.00, 109.47, 90.00 degrees
Closest atoms and distances in Å follow each position.
Space group C2/m (No. 12)
Asymmetric unit:
Ce: 0.2461 0.0000 0.2511 (multiplicity 4)  1 Sb 3.21, 5 Bi 3.25-3.28
Ce: 0.2470 0.1647 0.7472 (multiplicity 8)  1 Sb 3.20, 5 Bi 3.24-3.26
Bi: 0.0000 0.1685 0.0000 (multiplicity 4)  6 Ce 3.24-3.26
Bi: 0.0000 0.3337 0.5000 (multiplicity 4)  6 Ce 3.24-3.25
Bi: 0.0000 0.5000 0.0000 (multiplicity 2)  6 Ce 3.24-3.28
Sb: 0.0000 0.0000 0.5000 (multiplicity 2)  6 Ce 3.20-3.21

---

Question: What is the formula in the sixth record?
Answer: Ce6Bi5Sb

---

Please write out number 1 again, unchanged.
This record from the Alexandria database describes a relaxed structure of SmDy2Y4. The functional is PBE-GGA.

Output
**Energy relative to the lowest polymorph listed for this composition**: 0.0000 eV per atom
**Density of states at the Fermi level**: 13.33 states/eV/f.u.
**Total magnetic moment**: 0.00 μB/cell
**Crystal system**: triclinic

Cell lengths 6.3150, 8.4964, 9.2406 Å; angles 95.60, 90.04, 111.75 degrees
Closest atoms and distances in Å follow each position.
Space group P1 (No. 1)
Asymmetric unit:
Sm: 0.0000 0.0000 0.0000 (multiplicity 1)  3 Dy 3.53-3.64, 7 Y 3.53-3.68, 2 Sm 3.64-3.66
Sm: 0.4267 0.8573 0.1434 (multiplicity 1)  9 Y 3.54-3.67, 1 Dy 3.54, 2 Sm 3.64-3.66
Dy: 0.1397 0.2840 0.7136 (multiplicity 1)  8 Y 3.50-3.65, 3 Dy 3.53-3.65, 1 Sm 3.64
Dy: 0.4753 0.2862 0.2167 (multiplicity 1)  1 Dy 3.51, 9 Y 3.52-3.66, 2 Sm 3.54
Dy: 0.7126 0.4285 0.5716 (multiplicity 1)  4 Dy 3.51-3.65, 8 Y 3.52-3.65
Dy: 0.7621 0.8558 0.6436 (multiplicity 1)  9 Y 3.52-3.67, 2 Dy 3.52-3.53, 1 Sm 3.53
Y: 0.0469 0.4277 0.0722 (multiplicity 1)  2 Sm 3.53-3.54, 7 Y 3.54-3.66, 3 Dy 3.54-3.66
Y: 0.1867 0.7113 0.7853 (multiplicity 1)  6 Y 3.51-3.66, 4 Dy 3.52-3.67, 2 Sm 3.54-3.55
Y: 0.2861 0.5704 0.4308 (multiplicity 1)  6 Y 3.51-3.65, 5 Dy 3.52-3.65, 1 Sm 3.67
Y: 0.3335 0.0008 0.5013 (multiplicity 1)  6 Y 3.52-3.66, 5 Dy 3.52-3.65, 1 Sm 3.54
Y: 0.5710 0.1432 0.8566 (multiplicity 1)  4 Y 3.52-3.57, 5 Dy 3.54-3.65, 3 Sm 3.65-3.66
Y: 0.6151 0.5695 0.9275 (multiplicity 1)  4 Dy 3.52-3.66, 6 Y 3.52-3.66, 2 Sm 3.55-3.56
Y: 0.8545 0.7118 0.2879 (multiplicity 1)  3 Dy 3.52-3.62, 6 Y 3.54-3.65, 3 Sm 3.66-3.68
Y: 0.9030 0.1433 0.3594 (multiplicity 1)  5 Dy 3.50-3.65, 5 Y 3.53-3.65, 2 Sm 3.54-3.56